# Ce5Sb5Au | Alexandria | PBE-GGA | relaxed
data_Ce5Sb5Au
_cell_length_a 14.054
_cell_length_b 6.284
_cell_length_c 8.957
_cell_angle_alpha 90.00
_cell_angle_beta 108.69
_cell_angle_gamma 90.00
_symmetry_space_group_name_H-M 'C 1 2/m 1'
_symmetry_Int_Tables_number 12
loop_
_symmetry_equiv_pos_as_xyz
'x,y,z'
'-x,-y,-z'
'-x,y,-z'
'x,-y,z'
'x+1/2,y+1/2,z'
'-x+1/2,-y+1/2,-z'
'-x+1/2,y+1/2,-z'
'x+1/2,-y+1/2,z'
loop_
_atom_site_label
_atom_site_fract_x
_atom_site_fract_y
_atom_site_fract_z
_atom_site_occupancy
Ce1 0.000 0.000 0.000 1
Ce2 0.162 0.500 0.831 1
Ce3 0.164 0.500 0.334 1
Sb1 0.000 0.500 0.500 1
Sb2 0.168 0.000 0.834 1
Sb3 0.171 0.000 0.333 1
Au1 0.000 0.500 0.000 1
# Raw formation energy ... -668 meV/atom